[1]
This record from Alexandria via LeMat-Bulk describes an optimized crystal structure of CsNbOs2Br. The functional is PBE-GGA.

a b c (Å): 4.9232 5.6598 4.9232
angles (deg): 90.00 90.00 90.00
With the nearest neighbours (Å) after each atom.
Fractional coordinates of all 5 atoms:
Os  0.0000  0.0000  0.5000  2 Cs 2.46
Os  0.5000  0.0000  0.0000  2 Cs 2.46
Nb  0.5000  0.5000  0.5000  4 Br 3.48, 8 Os 3.75
Cs  0.0000  0.0000  0.0000  4 Os 2.46
Br  0.0000  0.5000  0.0000  2 Cs 2.83

Results
Crystal system   tetragonal
E_tot   -3.529 eV/atom

=====

[2]
This record from Alexandria via LeMat-Bulk describes an optimized crystal structure of Ba2NaPO. The functional is PBE-GGA.

a b c (Å): 5.3598 5.3598 4.6273
angles (deg): 90.00 90.00 90.00
With the nearest neighbours (Å) after each atom.
Fractional coordinates of all 5 atoms:
P  0.5000  0.5000  0.5000  8 Ba 3.54, 4 Na 3.79
Na  0.0000  0.0000  0.5000  2 O 2.31
Ba  0.0000  0.5000  0.0000  2 O 2.68
Ba  0.5000  0.0000  0.0000  2 O 2.68
O  0.0000  0.0000  0.0000  2 Na 2.31

Results
Crystal system   tetragonal
E_tot   -4.488 eV/atom

=====

[3]
This record from Alexandria via LeMat-Bulk describes an optimized crystal structure of In2IrBr. The functional is PBE-GGA.

a b c (Å): 4.8136 4.8136 4.8136
angles (deg): 110.16 110.16 108.10
With the nearest neighbours (Å) after each atom.
Fractional coordinates of all 4 atoms:
In  0.0000  0.0000  0.0000  2 In 2.83, 4 Br 3.10, 4 Ir 3.10
In  0.5000  0.5000  0.0000  2 In 2.83, 4 Ir 3.10, 4 Br 3.10
Br  0.7500  0.2500  0.5000  2 Ir 2.83, 8 In 3.10
Ir  0.2500  0.7500  0.5000  2 Br 2.83, 8 In 3.10

Results
Energy above the lowest structure with this stoichiometry   0.473 eV per atom
Crystal system   tetragonal

=====

[4]
This record from Alexandria via LeMat-Bulk describes an optimized crystal structure of NaGe3P3. The functional is PBE-GGA.

a b c (Å): 7.5842 7.5842 7.9005
angles (deg): 61.32 61.32 60.00
With the nearest neighbours (Å) after each atom.
Fractional coordinates of all 14 atoms:
Ge  0.8718  0.5688  0.3520  4 P 2.44-2.67
Ge  0.1282  0.4312  0.6480  4 P 2.44-2.67
Ge  0.4312  0.7926  0.6480  4 P 2.44-2.67
Ge  0.5688  0.2074  0.3520  4 P 2.44-2.67
Ge  0.7926  0.1282  0.6480  4 P 2.44-2.67
Ge  0.2074  0.8718  0.3520  4 P 2.44-2.67
P  0.7409  0.4423  0.7237  4 Ge 2.44-2.67
P  0.0931  0.7409  0.7237  4 Ge 2.44-2.67
P  0.9069  0.2591  0.2763  4 Ge 2.44-2.67
P  0.5577  0.9069  0.2763  4 Ge 2.44-2.67
P  0.2591  0.5577  0.2763  4 Ge 2.44-2.67
P  0.4423  0.0931  0.7237  4 Ge 2.44-2.67
Na  0.3320  0.3320  0.0039  6 P 3.05-3.07
Na  0.6680  0.6680  0.9961  6 P 3.05-3.07

Results
Energy above the lowest structure with this stoichiometry   0.221 eV per atom
Crystal system   trigonal
ΔE_f   46 meV/atom

=====

[5]
This record from Alexandria via LeMat-Bulk describes an optimized crystal structure of Rb2GeMo. The functional is PBE-GGA.

a b c (Å): 14.0043 14.0043 10.2020
angles (deg): 46.66 46.66 90.00
With the nearest neighbours (Å) after each atom.
Fractional coordinates of all 8 atoms:
Rb  0.3750  0.1328  0.7500  2 Mo 3.56, 2 Ge 3.96
Rb  0.8672  0.1250  0.2500  2 Mo 3.56, 2 Ge 3.96
Rb  0.8750  0.1172  0.7500  2 Mo 3.56, 2 Ge 3.96
Rb  0.8828  0.6250  0.2500  2 Mo 3.56, 2 Ge 3.96
Mo  0.7500  0.2500  0.5000  2 Ge 2.45
Mo  0.0000  0.0000  0.0000  2 Ge 2.45
Ge  0.5000  0.5000  0.0000  2 Mo 2.45
Ge  0.2500  0.7500  0.5000  2 Mo 2.45

Results
Crystal system   tetragonal
ΔE_f   836 meV/atom

=====

[6]
This record from Alexandria via LeMat-Bulk describes an optimized crystal structure of NaLuAu4. The functional is PBE-GGA.

a b c (Å): 5.5817 5.5817 5.5817
angles (deg): 60.00 60.00 60.00
With the nearest neighbours (Å) after each atom.
Fractional coordinates of all 6 atoms:
Au  0.6248  0.6248  0.6248  6 Au 2.79-2.80
Au  0.1256  0.6248  0.6248  6 Au 2.79-2.80
Au  0.6248  0.1256  0.6248  6 Au 2.79-2.80
Au  0.6248  0.6248  0.1256  6 Au 2.79-2.80
Na  0.2500  0.2500  0.2500  12 Au 3.27, 4 Lu 3.42
Lu  0.0000  0.0000  0.0000  12 Au 3.27, 4 Na 3.42

Results
Crystal system   cubic
ΔE_f   -400 meV/atom

=====

[7]
This record from Alexandria via LeMat-Bulk describes an optimized crystal structure of La2ZnFe2. The functional is PBE-GGA.

a b c (Å): 7.1211 7.1211 4.2697
angles (deg): 90.00 90.00 90.00
With the nearest neighbours (Å) after each atom.
Fractional coordinates of all 10 atoms:
Fe  0.6133  0.1133  0.0000  1 Fe 2.28
Fe  0.8867  0.6133  0.0000  1 Fe 2.28
Fe  0.3867  0.8867  0.0000  1 Fe 2.28
Fe  0.1133  0.3867  0.0000  1 Fe 2.28
La  0.1842  0.6842  0.5000  6 Fe 2.95-3.05
La  0.8158  0.3158  0.5000  6 Fe 2.95-3.05
La  0.3158  0.1842  0.5000  6 Fe 2.95-3.05
La  0.6842  0.8158  0.5000  6 Fe 2.95-3.05
Zn  0.0000  0.0000  0.0000  4 Fe 2.87
Zn  0.5000  0.5000  0.0000  4 Fe 2.87

Results
Crystal system   tetragonal
ΔE_f   37 meV/atom

=====

[8]
This record from Alexandria via LeMat-Bulk describes an optimized crystal structure of SrBePt2. The functional is PBE-GGA.

a b c (Å): 5.0655 5.0655 8.1969
angles (deg): 72.00 72.00 90.00
With the nearest neighbours (Å) after each atom.
Fractional coordinates of all 8 atoms:
Be  0.5000  0.5000  0.0000  4 Pt 2.24
Be  0.2500  0.7500  0.5000  4 Pt 2.24
Pt  0.3750  0.5872  0.7500  2 Be 2.24
Pt  0.3372  0.6250  0.2500  2 Be 2.24
Pt  0.8750  0.6628  0.7500  2 Be 2.24
Pt  0.4128  0.1250  0.2500  2 Be 2.24
Sr  0.0000  0.0000  0.0000  8 Pt 3.24-3.52, 4 Be 3.58
Sr  0.7500  0.2500  0.5000  8 Pt 3.24-3.52, 4 Be 3.58

Results
Crystal system   tetragonal
ΔE_f   -538 meV/atom

=====

[9]
This record from Alexandria via LeMat-Bulk describes an optimized crystal structure of Sm3Zn2Pd4. The functional is PBE-GGA.

a b c (Å): 4.3360 5.4690 8.8129
angles (deg): 95.93 90.00 113.35
With the nearest neighbours (Å) after each atom.
Fractional coordinates of all 9 atoms:
Sm  0.6238  0.2476  0.3817  6 Pd 2.84-3.18
Sm  0.3762  0.7524  0.6183  6 Pd 2.84-3.18
Sm  0.0000  0.0000  0.0000  8 Pd 3.04-3.40
Pd  0.0848  0.1697  0.6367  2 Zn 2.64, 1 Pd 2.79, 1 Sm 2.95
Pd  0.2843  0.5686  0.9120  3 Zn 2.62-2.68, 2 Pd 2.80, 1 Sm 2.84
Pd  0.7157  0.4314  0.0880  3 Zn 2.62-2.68, 2 Pd 2.80, 1 Sm 2.84
Pd  0.9152  0.8303  0.3633  2 Zn 2.64, 1 Pd 2.79, 1 Sm 2.95
Zn  0.3204  0.6408  0.2178  5 Pd 2.62-2.68
Zn  0.6796  0.3592  0.7822  5 Pd 2.62-2.68

Results
Energy above the lowest structure with this stoichiometry   0.006 eV per atom
Crystal system   monoclinic
ΔE_f   -726 meV/atom

=====

[10]
This record from Alexandria via LeMat-Bulk describes an optimized crystal structure of K2Pa3TlS8. The functional is PBE-GGA.

a b c (Å): 8.2347 8.2347 9.0577
angles (deg): 62.96 62.96 60.00
With the nearest neighbours (Å) after each atom.
Fractional coordinates of all 14 atoms:
S  0.2442  0.2442  0.8182  2 Pa 2.67
S  0.6935  0.2442  0.8182  2 Pa 2.67
S  0.7262  0.7262  0.8214  3 Pa 2.76
S  0.7550  0.3016  0.1885  2 Pa 2.69, 1 Tl 2.96
S  0.2703  0.2703  0.1891  3 Pa 2.78
S  0.7550  0.7550  0.1885  2 Pa 2.69, 1 Tl 2.96
S  0.2442  0.6935  0.8182  2 Pa 2.67
S  0.3016  0.7550  0.1885  2 Pa 2.69, 1 Tl 2.96
K  0.4986  0.4986  0.5041  6 S 3.23-3.25
K  0.1307  0.1307  0.6078  4 S 3.08-3.23
Pa  0.4992  0.4992  0.0020  6 S 2.67-2.78
Pa  0.9996  0.4992  0.0020  6 S 2.67-2.78
Pa  0.4992  0.9996  0.0020  6 S 2.67-2.78
Tl  0.8755  0.8755  0.3735  3 S 2.96

Results
Crystal system   trigonal
E_tot   -6.155 eV/atom

=====

[11]
This record from Alexandria via LeMat-Bulk describes an optimized crystal structure of TbIn3Rh4. The functional is PBE-GGA.

a b c (Å): 4.6492 4.6492 8.0196
angles (deg): 73.15 73.15 60.00
With the nearest neighbours (Å) after each atom.
Fractional coordinates of all 8 atoms:
In  0.7492  0.7492  0.7525  8 Rh 2.79-2.93
In  0.2508  0.2508  0.2475  8 Rh 2.79-2.93
In  0.5000  0.5000  0.5000  8 Rh 2.72-2.83
Tb  0.0000  0.0000  0.0000  8 Rh 2.88-2.89
Rh  0.3799  0.3799  0.8604  5 In 2.72-2.93, 3 Tb 2.88
Rh  0.1276  0.1276  0.6172  7 In 2.79-2.87, 1 Tb 2.89
Rh  0.6201  0.6201  0.1396  5 In 2.72-2.93, 3 Tb 2.88
Rh  0.8724  0.8724  0.3828  7 In 2.79-2.87, 1 Tb 2.89

Results
Crystal system   trigonal
ΔE_f   -590 meV/atom

=====

[12]
This record from Alexandria via LeMat-Bulk describes an optimized crystal structure of LiVGe2. The functional is PBE-GGA.

a b c (Å): 3.2134 3.2134 5.7304
angles (deg): 90.00 90.00 90.00
With the nearest neighbours (Å) after each atom.
Fractional coordinates of all 4 atoms:
Ge  0.0000  0.0000  0.7570  4 V 2.66, 4 Li 2.71, 2 Ge 2.78-2.95
Ge  0.0000  0.0000  0.2430  4 V 2.66, 4 Li 2.71, 2 Ge 2.78-2.95
V  0.5000  0.5000  0.0000  8 Ge 2.66, 2 Li 2.87
Li  0.5000  0.5000  0.5000  8 Ge 2.71, 2 V 2.87

Results
Energy above the lowest structure with this stoichiometry   0.000 eV per atom
Crystal system   tetragonal
ΔE_f   -123 meV/atom